An optimized crystal structure of ZrTa, computed with PBE.

Density (g cm⁻³): 11.10
Uncorrected energy (eV per atom): -9.998
Formation energy from the elements (eV/atom): 0.20
Total magnetic moment (μB/atom): 0.000

Cell and atoms, written as CIF:
```
data_ZrTa
_chemical_formula_sum 'Zr1 Ta1'
_cell_length_a 3.4406
_cell_length_b 3.4406
_cell_length_c 3.4406
_cell_angle_alpha 90.00
_cell_angle_beta 90.00
_cell_angle_gamma 90.00
_symmetry_space_group_name_H-M 'P m -3 m'
_symmetry_Int_Tables_number 221
_symmetry_space_group_name_Hall '-P 4 2 3'
loop_
_atom_site_label
_atom_site_fract_x
_atom_site_fract_y
_atom_site_fract_z
Zr1 0.0000 0.0000 0.0000
Ta1 0.5000 0.5000 0.5000
```